The following is a DFT calculation (GGA-PBE) of crystalline PmSmY2Sc at its relaxed geometry.

a b c (Å): 8.269 11.319 7.145
angles (deg): 90.00 90.00 90.00
Space group Cmcm (No. 63)
Asymmetric unit:
Pm 0.000 0.234 0.250 (multiplicity 4)
Sm 0.000 0.235 0.750 (multiplicity 4)
Y 0.198 0.000 0.000 (multiplicity 8)
Sc 0.000 0.499 0.250 (multiplicity 4)

As for the formation energy: 0.32 eV per atom. The value obtained for the uncorrected energy is -5.423 eV per atom. The value obtained for the size of the total moment is 0.0 Bohr magnetons per cell.